No. 1
## K2NdPd3F12 (GGA-PBE)

Data for K2NdPd3F12 after structural relaxation.

Raw formation energy in eV per atom: -2.155
Density of states at the Fermi level in states/eV/f.u.: 6.23
Magnetization in μB/f.u.: 0.30

Cell: 7.0932 7.0932 7.0932 Å, 71.55 71.55 71.55°
With the nearest neighbours (Å) after each atom.
Fractional coordinates of all 18 atoms:
K 0.6325 0.6325 0.6325  3 F 2.60
K 0.3675 0.3675 0.3675  3 F 2.60
Nd 0.0000 0.0000 0.0000  12 F 2.51-2.73
Pd 0.5000 0.0000 0.0000  6 F 2.03-2.15
Pd 0.0000 0.5000 0.0000  6 F 2.03-2.15
Pd 0.0000 0.0000 0.5000  6 F 2.03-2.15
F 0.2525 0.2525 0.9191  2 Pd 2.15
F 0.8671 0.8671 0.3773  1 Pd 2.03
F 0.3773 0.8671 0.8671  1 Pd 2.03
F 0.9191 0.2525 0.2525  2 Pd 2.15
F 0.8671 0.3773 0.8671  1 Pd 2.03
F 0.2525 0.9191 0.2525  2 Pd 2.15
F 0.7475 0.7475 0.0809  2 Pd 2.15
F 0.1329 0.1329 0.6227  1 Pd 2.03
F 0.6227 0.1329 0.1329  1 Pd 2.03
F 0.0809 0.7475 0.7475  2 Pd 2.15
F 0.1329 0.6227 0.1329  1 Pd 2.03
F 0.7475 0.0809 0.7475  2 Pd 2.15

***

No. 2
## K2RbNdF6 (GGA-PBE)

Data for K2RbNdF6 after structural relaxation.

Raw formation energy in eV per atom: -3.286
Density of states at the Fermi level in states/eV/f.u.: 0.00
Magnetization in μB/f.u.: 0.33

Cell: 6.6543 6.6530 6.9193 Å, 90.01 118.75 120.00°
With the nearest neighbours (Å) after each atom.
Fractional coordinates of all 10 atoms:
K 0.5664 0.7827 0.3348  6 F 2.69-2.78
K 0.5806 0.2897 0.8565  6 F 2.62-2.78
Rb 0.0127 0.5058 0.5044  6 F 2.77-2.91
Nd 0.9965 0.9977 0.9801  6 F 2.29-2.32
F 0.5580 0.9097 0.7116  1 Nd 2.32
F 0.4409 0.0960 0.1636  1 Nd 2.29
F 0.8343 0.7370 0.1639  1 Nd 2.29
F 0.0815 0.3437 0.1639  1 Nd 2.29
F 0.8159 0.6471 0.7117  1 Nd 2.32
F 0.0789 0.1682 0.7120  1 Nd 2.32

***

No. 3
## K2RbNdF6 (GGA-PBE)

Data for K2RbNdF6 after structural relaxation.

Raw formation energy in eV per atom: -3.171
Density of states at the Fermi level in states/eV/f.u.: 0.00
Magnetization in μB/f.u.: 0.00

Cell: 6.9621 6.9621 6.9621 Å, 60.00 60.00 60.00°
With the nearest neighbours (Å) after each atom.
Fractional coordinates of all 10 atoms:
K 0.7500 0.7500 0.7500  12 F 3.49
K 0.2500 0.2500 0.2500  12 F 3.49
Nd 0.0000 0.0000 0.0000  6 F 2.27
Rb 0.5000 0.5000 0.5000  6 F 2.65
F 0.2308 0.7692 0.7692  1 Nd 2.27
F 0.7692 0.2308 0.7692  1 Nd 2.27
F 0.2308 0.7692 0.2308  1 Nd 2.27
F 0.7692 0.7692 0.2308  1 Nd 2.27
F 0.7692 0.2308 0.2308  1 Nd 2.27
F 0.2308 0.2308 0.7692  1 Nd 2.27

***

No. 4
## KNdTl2F6 (GGA-PBE)

Data for KNdTl2F6 after structural relaxation.

Raw formation energy in eV per atom: -2.881
Density of states at the Fermi level in states/eV/f.u.: 0.00
Magnetization in μB/f.u.: 0.00

Cell: 6.7529 6.7527 6.7834 Å, 60.12 60.13 59.99°
With the nearest neighbours (Å) after each atom.
Fractional coordinates of all 10 atoms:
K 0.8092 0.8093 0.5723  6 F 2.66-2.72
Nd 0.3143 0.3142 0.0573  6 F 2.29-2.32
Tl 0.5384 0.5385 0.3848  6 F 2.82-2.87
Tl 0.0370 0.0370 0.8891  6 F 2.78-2.89
F 0.5770 0.1740 0.2534  1 Nd 2.29
F 0.1739 0.9956 0.2535  1 Nd 2.29
F 0.9955 0.5771 0.2534  1 Nd 2.29
F 0.4429 0.6438 0.7836  1 Nd 2.32
F 0.6439 0.1293 0.7839  1 Nd 2.32
F 0.1294 0.4429 0.7838  1 Nd 2.32

***

No. 5
## KNdZnF6 (GGA-PBE)

Data for KNdZnF6 after structural relaxation.

Raw formation energy in eV per atom: -3.166
Density of states at the Fermi level in states/eV/f.u.: 0.00
Magnetization in μB/f.u.: 0.00

Cell: 5.9433 5.9433 10.7052 Å, 90.00 90.00 120.00°
With the nearest neighbours (Å) after each atom.
Fractional coordinates of all 18 atoms:
K 0.0000 0.0000 0.0000  6 F 2.70
K 0.0000 0.0000 0.5000  6 F 2.70
Nd 0.3333 0.6667 0.2500  6 F 2.30
Nd 0.6667 0.3333 0.7500  6 F 2.30
Zn 0.6667 0.3333 0.2500  6 F 2.08
Zn 0.3333 0.6667 0.7500  6 F 2.08
F 0.6406 0.6133 0.1441  1 Zn 2.08, 1 Nd 2.30
F 0.9727 0.3594 0.1441  1 Zn 2.08, 1 Nd 2.30
F 0.3594 0.9727 0.6441  1 Zn 2.08, 1 Nd 2.30
F 0.0273 0.6406 0.8559  1 Zn 2.08, 1 Nd 2.30
F 0.3867 0.3594 0.3559  1 Zn 2.08, 1 Nd 2.30
F 0.9727 0.6133 0.3559  1 Zn 2.08, 1 Nd 2.30
F 0.6133 0.9727 0.8559  1 Zn 2.08, 1 Nd 2.30
F 0.6406 0.0273 0.3559  1 Zn 2.08, 1 Nd 2.30
F 0.0273 0.3867 0.6441  1 Zn 2.08, 1 Nd 2.30
F 0.3867 0.0273 0.1441  1 Zn 2.08, 1 Nd 2.30
F 0.6133 0.6406 0.6441  1 Zn 2.08, 1 Nd 2.30
F 0.3594 0.3867 0.8559  1 Zn 2.08, 1 Nd 2.30

***

No. 6
## K2NdZnF8 (GGA-PBE)

Data for K2NdZnF8 after structural relaxation.

Raw formation energy in eV per atom: -2.831
Density of states at the Fermi level in states/eV/f.u.: 8.51
Magnetization in μB/f.u.: 1.07

Cell: 4.0468 6.2438 7.8650 Å, 84.02 91.27 93.63°
With the nearest neighbours (Å) after each atom.
Fractional coordinates of all 12 atoms:
K 0.5123 0.4747 0.7623  8 F 2.58-2.83
K 0.4877 0.5253 0.2377  8 F 2.58-2.83
Nd 0.0000 0.0000 0.5000  8 F 2.33-2.48
Zn 0.0000 0.0000 0.0000  4 F 1.92-1.96
F 0.0263 0.8379 0.2262  1 Zn 1.96
F 0.6122 0.8162 0.9632  1 Zn 1.92
F 0.9615 0.2651 0.2709  1 Nd 2.33, 2 K 2.58-2.60
F 0.9737 0.1621 0.7738  1 Zn 1.96
F 0.3878 0.1838 0.0368  1 Zn 1.92
F 0.0385 0.7349 0.7291  1 Nd 2.33, 2 K 2.58-2.60
F 0.4946 0.7916 0.4807  2 Nd 2.36-2.47
F 0.5054 0.2084 0.5193  2 Nd 2.36-2.47